This record from Alexandria via LeMat-Bulk describes a relaxed Pr3TeSe2 crystal. The functional is PBE.

Calculated values
Crystal system = orthorhombic
V = 33.81 Å³ per atom
Energy above the most stable polymorph in this dataset = 323 meV per atom
Raw formation energy = -1373 meV/atom

abc: 9.3145 8.2736 8.2736
angles: 55.58 55.74 55.74
Sites, in units of the cell vectors:
Te (0.2043, 0.2500, 0.2500)
Te (0.7957, 0.7500, 0.7500)
Se (0.3161, 0.4604, 0.4604)
Se (0.7368, 0.0396, 0.0396)
Se (0.2632, 0.9604, 0.9604)
Se (0.6839, 0.5396, 0.5396)
Pr (0.5000, 0.7706, 0.2294)
Pr (0.0000, 0.2706, 0.7294)
Pr (0.5000, 0.2294, 0.7706)
Pr (0.0000, 0.7294, 0.2706)
Pr (0.5000, 0.5000, 0.0000)
Pr (0.5000, 0.0000, 0.5000)